CdPbW: relaxed, GGA-PBE.

POSCAR file:
```
CdPbW
1.0
-1.768 1.768 5.054
1.768 -1.768 5.054
1.768 1.768 -5.054
Cd Pb W
1 1 1
direct
0.000 0.000 0.000
0.309 0.309 0.000
0.655 0.655 0.000
```

Computed properties:
- Total DFT energy (no corrections): -4.843 eV per atom
- Polymorph energy (0 for the lowest one): 255.0 meV/atom
- DFT formation energy: 1.016 eV/atom